Compound: Tm3ZnGe3
Source: the Alexandria database
Functional: PBE-GGA
Structure: relaxed

space-group type = P6_3/m
energy above the most stable polymorph in this dataset = 210 meV per atom
total magnetization = 0.000 μB/f.u.
uncorrected energy = -64.2 eV/cell
ΔE_f = -508 meV/atom

Cell lengths 8.447, 8.447, 5.751 Å; angles 90.00, 90.00, 120.00 degrees
Sites, in units of the cell vectors:
Tm  0.048  0.692  0.250
Tm  0.308  0.356  0.250
Tm  0.356  0.048  0.750
Tm  0.644  0.952  0.250
Tm  0.692  0.644  0.750
Tm  0.952  0.308  0.750
Zn  0.333  0.667  0.750
Zn  0.667  0.333  0.250
Ge  0.046  0.688  0.750
Ge  0.312  0.358  0.750
Ge  0.358  0.046  0.250
Ge  0.642  0.954  0.750
Ge  0.688  0.642  0.250
Ge  0.954  0.312  0.250